Record 1
Zr4ScCo | PBE | relaxed

Output
- Symmetry: F-43m (216)
- ρ: 5.8 g/cm3
- Formation energy: 0.53 eV/atom

abc: 5.7366 5.7366 5.7366
angles: 60.00 60.00 60.00
Last column: nearest neighbours and their distance in Å.
Fractional positions:
Zr1 0.1253 0.1253 0.1253  6 Zr 2.86-2.88
Zr2 0.1253 0.1253 0.6240  6 Zr 2.86-2.88
Zr3 0.1253 0.6240 0.1253  6 Zr 2.86-2.88
Zr4 0.6240 0.1253 0.1253  6 Zr 2.86-2.88
Sc1 0.5000 0.5000 0.5000  12 Zr 3.36, 4 Co 3.51
Co1 0.7500 0.7500 0.7500  12 Zr 3.36, 4 Sc 3.51

***

Record 2
ZrScCo | PBE | relaxed

Output
- Symmetry: Amm2 (38)
- ρ: 5.9 g/cm3
- Distance to the lowest polymorph of the same formula: 0.20 eV per formula unit
- Formation energy: -0.19 eV/atom

abc: 4.7294 3.2630 14.1953
angles: 90.00 90.00 90.00
Last column: nearest neighbours and their distance in Å.
Fractional positions:
Zr1 0.0000 0.0000 0.0000  2 Co 2.63
Zr2 0.0000 0.5000 0.5000  2 Co 2.63
Zr3 0.5000 0.0000 0.1481  6 Co 2.61-2.87
Zr4 0.5000 0.5000 0.6481  6 Co 2.61-2.87
Sc1 0.0000 0.0000 0.2966  6 Co 2.70-2.87
Sc2 0.0000 0.5000 0.7966  6 Co 2.70-2.87
Sc3 0.5000 0.0000 0.4400  2 Co 2.67
Sc4 0.5000 0.5000 0.9400  2 Co 2.67
Co1 0.0000 0.0000 0.6454  6 Zr 2.63-2.87, 2 Sc 2.70
Co2 0.0000 0.5000 0.1454  6 Zr 2.63-2.87, 2 Sc 2.70
Co3 0.5000 0.0000 0.7914  2 Zr 2.61, 6 Sc 2.67-2.87
Co4 0.5000 0.5000 0.2914  2 Zr 2.61, 6 Sc 2.67-2.87

***

Record 3
Co3Se | PBE | relaxed

Output
- Symmetry: C2/m (12)
- ρ: 8.6 g/cm3
- E_form (uncorrected): 0.256 eV/atom
- Distance to the lowest polymorph of the same formula: 0.06 eV per formula unit

abc: 8.3857 2.8273 4.2082
angles: 90.00 96.72 90.00
Last column: nearest neighbours and their distance in Å.
Fractional positions:
Co1 0.0000 0.0000 0.0000  8 Co 2.53-2.83, 4 Se 2.53
Co2 0.2354 0.5000 0.2337  1 Se 2.38, 7 Co 2.46-2.64
Co3 0.2646 0.0000 0.7663  1 Se 2.38, 7 Co 2.46-2.64
Co4 0.5000 0.5000 0.0000  8 Co 2.53-2.83, 4 Se 2.53
Co5 0.7354 0.0000 0.2337  1 Se 2.38, 7 Co 2.46-2.64
Co6 0.7646 0.5000 0.7663  1 Se 2.38, 7 Co 2.46-2.64
Se1 0.0000 0.5000 0.5000  6 Co 2.38-2.53
Se2 0.5000 0.0000 0.5000  6 Co 2.38-2.53

***

Record 4
Co3Se4 | PBE | relaxed

Output
- Symmetry: C2/m (12)
- ρ: 7.2 g/cm3
- E_form (uncorrected): -0.266 eV/atom
- Distance to the lowest polymorph of the same formula: 0.15 eV per formula unit

abc: 11.8269 3.5785 6.1656
angles: 90.00 119.57 90.00
Last column: nearest neighbours and their distance in Å.
Fractional positions:
Co1 0.0000 0.0000 0.0000  6 Se 2.44-2.45, 2 Co 2.69
Co2 0.2393 0.5000 0.7199  6 Se 2.35-2.49
Co3 0.2607 0.0000 0.2801  6 Se 2.35-2.49
Co4 0.5000 0.5000 0.0000  6 Se 2.44-2.45, 2 Co 2.69
Co5 0.7393 0.0000 0.7199  6 Se 2.35-2.49
Co6 0.7607 0.5000 0.2801  6 Se 2.35-2.49
Se1 0.1227 0.0000 0.4559  4 Co 2.35-2.45
Se2 0.1338 0.5000 0.9752  5 Co 2.44-2.49
Se3 0.3662 0.0000 0.0248  5 Co 2.44-2.49
Se4 0.3773 0.5000 0.5441  4 Co 2.35-2.45
Se5 0.6227 0.5000 0.4559  4 Co 2.35-2.45
Se6 0.6338 0.0000 0.9752  5 Co 2.44-2.49
Se7 0.8662 0.5000 0.0248  5 Co 2.44-2.49
Se8 0.8773 0.0000 0.5441  4 Co 2.35-2.45

***

Record 5
CoSe | PBE | relaxed

Output
- Symmetry: Pmmn (59)
- ρ: 6.1 g/cm3
- E_form (uncorrected): -0.114 eV/atom

abc: 3.5874 11.6688 5.3907
angles: 90.00 90.00 90.00
Last column: nearest neighbours and their distance in Å.
Fractional positions:
Co1 0.2500 0.0783 0.0352  4 Se 2.28-2.31
Co2 0.2500 0.4217 0.0352  4 Se 2.28-2.31
Co3 0.2500 0.7500 0.4939  4 Se 2.28-2.29
Co4 0.7500 0.2500 0.5061  4 Se 2.28-2.29
Co5 0.7500 0.5783 0.9648  4 Se 2.28-2.31
Co6 0.7500 0.9217 0.9648  4 Se 2.28-2.31
Se1 0.2500 0.2500 0.2448  4 Co 2.28-2.30
Se2 0.2500 0.5996 0.2220  4 Co 2.28-2.31
Se3 0.2500 0.9004 0.2220  4 Co 2.28-2.31
Se4 0.7500 0.0996 0.7780  4 Co 2.28-2.31
Se5 0.7500 0.4004 0.7780  4 Co 2.28-2.31
Se6 0.7500 0.7500 0.7552  4 Co 2.28-2.30

***

Record 6
CoSe | PBE | relaxed

Output
- Symmetry: P4/m (83)
- ρ: 5.1 g/cm3
- E_form (uncorrected): -0.204 eV/atom

abc: 9.9162 9.9162 3.6766
angles: 90.00 90.00 90.00
Last column: nearest neighbours and their distance in Å.
Fractional positions:
Co1 0.0590 0.3809 0.0000  4 Se 2.28-2.29
Co2 0.1067 0.7063 0.5000  4 Se 2.27-2.31
Co3 0.2937 0.1067 0.5000  4 Se 2.27-2.31
Co4 0.3809 0.9410 0.0000  4 Se 2.28-2.29
Co5 0.6191 0.0590 0.0000  4 Se 2.28-2.29
Co6 0.7063 0.8933 0.5000  4 Se 2.27-2.31
Co7 0.8933 0.2937 0.5000  4 Se 2.27-2.31
Co8 0.9410 0.6191 0.0000  4 Se 2.28-2.29
Se1 0.1238 0.2600 0.5000  4 Co 2.27-2.31
Se2 0.1689 0.5827 0.0000  4 Co 2.28-2.29
Se3 0.2600 0.8762 0.5000  4 Co 2.27-2.31
Se4 0.4173 0.1689 0.0000  4 Co 2.28-2.29
Se5 0.5827 0.8311 0.0000  4 Co 2.28-2.29
Se6 0.7400 0.1238 0.5000  4 Co 2.27-2.31
Se7 0.8311 0.4173 0.0000  4 Co 2.28-2.29
Se8 0.8762 0.7400 0.5000  4 Co 2.27-2.31

***

Total magnetization list, top to bottom, in μB/cell: 0.8; 0.1; 8.4; 1.9; 0.8; 0.0
Raw total energy list, top to bottom, in eV per atom: -7.409; -7.516; -5.945; -5.302; -5.410; -5.500